(1)
First-principles (GGA-PBE) data for a geometry-optimized NiTeAs2 structure, as listed in Alexandria via LeMat-Bulk.

Structure (CIF):
```
data_NiTeAs2
_space_group_name_H-M_alt 'C 1 m 1'
_space_group_IT_number 8
_cell_length_a 6.612
_cell_length_b 3.773
_cell_length_c 6.615
_cell_angle_alpha 90.00
_cell_angle_beta 108.61
_cell_angle_gamma 90.00
loop_
_space_group_symop_operation_xyz
'x,y,z'
'x,-y,z'
'x+1/2,y+1/2,z'
'x+1/2,-y+1/2,z'
loop_
_atom_site_label
_atom_site_fract_x
_atom_site_fract_y
_atom_site_fract_z
_atom_site_occupancy
Ni1 0.000 0.000 0.000 1
Te1 0.260 0.000 0.776 1
As1 0.237 0.500 0.204 1
As2 0.482 0.000 0.450 1
```

total energy: -36.23 eV/cell
E_form (uncorrected): 27 meV/atom



(2)
First-principles (GGA-PBE) data for a geometry-optimized GeBSbI2 structure, as listed in Alexandria via LeMat-Bulk.

Structure (CIF):
```
data_GeBSbI2
_space_group_name_H-M_alt 'P 4/m m m'
_space_group_IT_number 123
_space_group_name_Hall '-P 4 2'
_cell_length_a 5.676
_cell_length_b 5.676
_cell_length_c 5.544
_cell_angle_alpha 90.00
_cell_angle_beta 90.00
_cell_angle_gamma 90.00
loop_
_atom_site_label
_atom_site_fract_x
_atom_site_fract_y
_atom_site_fract_z
_atom_site_occupancy
Ge1 0.000 0.000 0.000 1
B1 0.500 0.500 0.500 1
Sb1 0.000 0.000 0.500 1
I1 0.000 0.500 0.000 1
```

total energy: -12.15 eV/cell
E_form (uncorrected): 1274 meV/atom



(3)
First-principles (GGA-PBE) data for a geometry-optimized LaMgCr2Bi structure, as listed in Alexandria via LeMat-Bulk.

Structure (CIF):
```
data_LaMgCr2Bi
_space_group_name_H-M_alt 'P 4/m m m'
_space_group_IT_number 123
_space_group_name_Hall '-P 4 2'
_cell_length_a 5.074
_cell_length_b 5.074
_cell_length_c 5.540
_cell_angle_alpha 90.00
_cell_angle_beta 90.00
_cell_angle_gamma 90.00
loop_
_atom_site_label
_atom_site_fract_x
_atom_site_fract_y
_atom_site_fract_z
_atom_site_occupancy
La1 0.000 0.000 0.000 1
Mg1 0.500 0.500 0.500 1
Cr1 0.000 0.500 0.500 1
Bi1 0.500 0.500 0.000 1
```

total energy: -25.89 eV/cell
energy of formation: 73 kJ per mole of atoms